(1)
# ScSn2Bi2

A relaxed ScSn2Bi2 crystal (PBE-GGA, Alexandria).

Output
The energy of formation from the pure elements comes out at -0.04 eV per atom. Its total magnetic moment is 0.00 μB/atom. Its volume is 288.85 Å³ per cell. As for the energy above the lowest structure with this stoichiometry: 0.000 eV per atom.

Structure (CIF):
```
data_ScSn2Bi2
_chemical_formula_sum 'Sc2 Sn4 Bi4'
_symmetry_space_group_name_H-M 'P 4/m b m'
_symmetry_Int_Tables_number 127
_symmetry_space_group_name_Hall '-P 4 2ab'
_cell_length_a 7.8534
_cell_length_b 7.8534
_cell_length_c 4.6834
_cell_angle_alpha 90.00
_cell_angle_beta 90.00
_cell_angle_gamma 90.00
loop_
_atom_site_label
_atom_site_fract_x
_atom_site_fract_y
_atom_site_fract_z
Sc1 0.0000 0.0000 0.0000
Sn1 0.1424 0.3576 0.0000
Bi1 0.1651 0.6651 0.5000
```

***

(2)
# ScSnBi3

A relaxed ScSnBi3 crystal (PBE-GGA, Alexandria).

Output
The energy of formation from the pure elements comes out at 0.23 eV per atom. Its total magnetic moment is 0.00 μB/atom. Its volume is 176.56 Å³ per cell. As for the energy above the lowest structure with this stoichiometry: 0.000 eV per atom.

Structure (CIF):
```
data_ScSnBi3
_chemical_formula_sum 'Sc1 Sn1 Bi3'
_symmetry_space_group_name_H-M 'P m -3 m'
_symmetry_Int_Tables_number 221
_symmetry_space_group_name_Hall '-P 4 2 3'
_cell_length_a 5.6100
_cell_length_b 5.6100
_cell_length_c 5.6100
_cell_angle_alpha 90.00
_cell_angle_beta 90.00
_cell_angle_gamma 90.00
loop_
_atom_site_label
_atom_site_fract_x
_atom_site_fract_y
_atom_site_fract_z
Sc1 0.0000 0.0000 0.0000
Sn1 0.5000 0.5000 0.5000
Bi1 0.0000 0.0000 0.5000
```

***

(3)
# ScSnBi

A relaxed ScSnBi crystal (PBE-GGA, Alexandria).

Output
The energy of formation from the pure elements comes out at -0.14 eV per atom. Its total magnetic moment is 0.10 μB/atom. Its volume is 80.79 Å³ per cell. As for the energy above the lowest structure with this stoichiometry: 0.200 eV per atom.

Structure (CIF):
```
data_ScSnBi
_chemical_formula_sum 'Sc1 Sn1 Bi1'
_symmetry_space_group_name_H-M 'P 3 m 1'
_symmetry_Int_Tables_number 156
_cell_length_a 5.3795
_cell_length_b 5.3795
_cell_length_c 3.2236
_cell_angle_alpha 90.00
_cell_angle_beta 90.00
_cell_angle_gamma 120.00
loop_
_symmetry_equiv_pos_as_xyz
'x,y,z'
'-y,x-y,z'
'-x+y,-x,z'
'-y,-x,z'
'-x+y,y,z'
'x,x-y,z'
loop_
_atom_site_label
_atom_site_fract_x
_atom_site_fract_y
_atom_site_fract_z
Sc1 0.0000 0.0000 0.0000
Sn1 0.3333 0.6667 0.4283
Bi1 0.6667 0.3333 0.5200
```

***

> What is the formula in the first record?

ScSn2Bi2

***

> Which of these has the lowest energy of formation from the pure elements?

ScSnBi